DFT (PBE with a Hubbard U) results for a relaxed structure of Ac2DyWO8.

Results
Density of states at the Fermi level, states/eV/f.u.: 9.740
Calculated total energy, eV per atom: -7.70
Crystal system: monoclinic

CIF file:
```
data_Ac2DyWO8
_chemical_formula_sum 'Ac2 Dy1 W1 O8'
_space_group_name_H-M_alt 'P 1 2/m 1'
_space_group_IT_number 10
_cell_length_a 5.3702
_cell_length_b 7.0816
_cell_length_c 5.3794
_cell_angle_alpha 90.00
_cell_angle_beta 91.29
_cell_angle_gamma 90.00
loop_
_space_group_symop_operation_xyz
'x,y,z'
'-x,-y,-z'
'-x,y,-z'
'x,-y,z'
loop_
_atom_site_label
_atom_site_fract_x
_atom_site_fract_y
_atom_site_fract_z
_atom_site_occupancy
Ac1 0.0000 0.2450 0.0000 1
Dy1 0.5000 0.5000 0.5000 1
W1 0.5000 0.0000 0.5000 1
O1 0.2050 0.5000 0.2059 1
O2 0.2412 0.0000 0.2435 1
O3 0.3307 0.2102 0.6704 1
```